[1]
InTc4Mo | PBE | relaxed

Calculated values
**Crystal system**: cubic

```
InTc4Mo
1.0
0.000 3.649 3.649
3.649 0.000 3.649
3.649 3.649 0.000
Tc Mo In
4 1 1
Cartesian
2.741 4.557 2.741
4.557 4.557 4.557
2.741 2.741 4.557
4.557 2.741 2.741
0.000 0.000 0.000
1.824 1.824 1.824
```


[2]
InTc2Mo | PBE | relaxed

Calculated values
**Crystal system**: trigonal

```
InTc2Mo
1.0
9.417 0.007 0.004
8.981 2.832 0.004
8.981 1.386 2.469
In Tc Mo
1 2 1
Cartesian
13.730 2.118 1.243
6.994 1.079 0.633
27.313 4.214 2.472
20.410 3.149 1.847
```


[3]
InTcMo2 | PBE | relaxed

Calculated values
**Crystal system**: tetragonal

```
InTcMo2
1.0
7.437 0.000 0.000
0.000 7.437 0.000
3.718 3.718 2.724
Mo In Tc
4 2 2
Cartesian
5.172 1.859 0.681
2.265 5.578 0.681
5.578 5.983 2.043
9.296 8.890 2.043
0.000 0.000 0.000
7.437 3.718 1.362
3.718 3.718 0.000
3.718 7.437 1.362
```


[4]
InTc2Mo | PBE | relaxed

Calculated values
**Crystal system**: monoclinic

```
InTc2Mo
1.0
4.151 0.000 0.000
0.000 2.868 -0.013
0.000 1.680 5.555
In Mo Tc
1 1 2
Cartesian
2.076 1.137 1.385
2.076 3.411 4.156
0.000 4.306 5.413
0.000 2.517 2.900
```


Let's list formation energy from the elements in order: 1.53 1.17 2.93 1.13 eV per formula unit.
Let's list ρ in order: 10.30 10.30 8.92 10.20 g/cm³.